Entry 1:
Sr2ZrBr, optimized geometry, DFT PBE; formation energy (no corrections) = -0.09 eV per atom; distance to the lowest polymorph of the same formula = 288 meV/atom; Fermi-level density of states = 5.0 states/eV/cell; SG = Cmmm
1.0
-5.9801 0.1737 -1.5454
1.5197 -1.3935 -5.8248
-0.3008 -3.5333 0.7668
Sr Zr Br
2 1 1
direct
0.5000 0.5000 0.0000 Sr
0.0000 0.0000 0.0000 Sr
0.5000 0.0000 0.5000 Zr
0.0000 0.5000 0.5000 Br


Entry 2:
SrZr2Te, optimized geometry, DFT PBE; formation energy (no corrections) = 0.17 eV per atom; Fermi-level density of states = 4.1 states/eV/cell; SG = Cmmm
1.0
-2.5115 -2.2766 -4.3694
4.4705 -3.0285 1.1938
-1.9953 -2.0684 2.2246
Sr Te Zr
1 1 2
direct
0.5000 0.0000 0.5000 Sr
0.0000 0.5000 0.5000 Te
0.5000 0.5000 0.0000 Zr
0.0000 0.0000 0.0000 Zr


Entry 3:
YCdSb4, optimized geometry, DFT PBE; formation energy (no corrections) = 0.01 eV per atom; Fermi-level density of states = 5.5 states/eV/cell; SG = F-43m
1.0
4.4656 4.0496 1.6505
-0.3819 3.0194 5.4592
3.9442 -1.4161 4.6371
Sb Y Cd
4 1 1
direct
0.3746 0.3746 0.3746 Sb
0.3746 0.3746 0.8763 Sb
0.3746 0.8763 0.3746 Sb
0.8763 0.3746 0.3746 Sb
0.7500 0.7500 0.7500 Y
0.0000 0.0000 0.0000 Cd


Entry 4:
HoSc2Tl2Cd2, optimized geometry, DFT PBE; Fermi-level density of states = 4.9 states/eV/cell; E_form = -0.128 eV/atom; SG = R-3m
1.0
-0.1530 2.5054 -4.1894
-4.0422 2.4460 -1.2362
1.4925 8.4209 2.1349
Tl Sc Cd Ho
2 2 2 1
direct
0.7314 0.7314 0.8059 Tl
0.2686 0.2686 0.1941 Tl
0.8626 0.8626 0.4122 Sc
0.1374 0.1374 0.5878 Sc
0.4383 0.4383 0.6852 Cd
0.5617 0.5617 0.3148 Cd
0.0000 0.0000 0.0000 Ho


Entry 5:
TaIn2F, optimized geometry, DFT PBE; formation energy (no corrections) = 0.11 eV per atom; distance to the lowest polymorph of the same formula = 171 meV/atom; Fermi-level density of states = 3.5 states/eV/cell; SG = Fm-3m
1.0
0.0000 3.4270 3.4270
3.4270 0.0000 3.4270
3.4270 3.4270 0.0000
In F Ta
2 1 1
direct
0.2500 0.2500 0.2500 In
0.7500 0.7500 0.7500 In
0.0000 0.0000 0.0000 F
0.5000 0.5000 0.5000 Ta


Entry 6:
ThNi3Ge, optimized geometry, DFT PBE; distance to the lowest polymorph of the same formula = 306 meV/atom; Fermi-level density of states = 5.9 states/eV/cell; E_form = -0.209 eV/atom; SG = Cmmm
1.0
4.4666 0.0000 0.0000
0.0000 5.3402 0.0000
0.0000 0.0000 7.3444
Ge Ni Th
2 6 2
direct
0.0000 0.0000 0.5000 Ge
0.0000 0.5000 0.0000 Ge
0.0000 0.7503 0.2498 Ni
0.5000 0.5000 0.0000 Ni
0.0000 0.7497 0.7498 Ni
0.0000 0.2497 0.7502 Ni
0.0000 0.2503 0.2502 Ni
0.5000 0.0000 0.5000 Ni
0.5000 0.0000 0.0000 Th
0.5000 0.5000 0.5000 Th


Entry 7:
Pr2Ho5Mg, optimized geometry, DFT PBE; distance to the lowest polymorph of the same formula = 0 meV/atom; Fermi-level density of states = 8.7 states/eV/cell; E_form = 0.019 eV/atom; SG = I4/mmm
1.0
7.0252 -0.0002 -0.0005
0.0000 7.0255 -0.0005
-3.5124 -3.5127 5.0739
Ho Mg Pr
5 1 2
direct
0.2221 0.2221 0.9442 Ho
0.7221 0.2221 0.9442 Ho
0.7220 0.7220 0.4441 Ho
0.7221 0.7222 0.9442 Ho
0.2221 0.7222 0.9442 Ho
0.2223 0.2223 0.4447 Mg
0.7222 0.2222 0.4443 Pr
0.2220 0.7220 0.4441 Pr


Entry 8:
Cd3AsBr, optimized geometry, DFT PBE; formation energy (no corrections) = -0.12 eV per atom; distance to the lowest polymorph of the same formula = 0 meV/atom; Fermi-level density of states = 2.8 states/eV/cell; SG = R-3c
1.0
7.5382 0.4194 0.3125
3.4023 6.7397 0.3125
3.4023 2.2264 6.3691
Cd Br As
6 2 2
direct
0.2443 0.6439 0.8446 Cd
0.8446 0.2443 0.6439 Cd
0.1439 0.7443 0.3446 Cd
0.7443 0.3446 0.1439 Cd
0.3446 0.1439 0.7443 Cd
0.6439 0.8446 0.2443 Cd
0.2444 0.2444 0.2444 Br
0.7444 0.7444 0.7444 Br
0.4943 0.4943 0.4943 As
0.9943 0.9943 0.9943 As